Below is an optimized crystal structure of TiZn2IrO6, with properties calculated at the PBE-GGA level.

Summary:
For the total magnetization, the calculation gives 0.10 μB/atom. The value obtained for the uncorrected energy is -6.471 eV per atom. For the uncorrected formation energy, the calculation gives -15.7 eV/f.u.

Lattice parameters (Å, degrees): 5.2307 5.2383 9.2445 90.00 124.19 90.00
Last column: nearest neighbours and their distance in Å.
Fractional coordinates of all 20 atoms:
Ti1 0.0000 0.0000 0.0000  6 O 1.96-2.05
Ti2 0.0000 0.5000 0.5000  6 O 1.96-2.05
Zn1 0.2594 0.0300 0.7509  4 O 2.04-2.12
Zn2 0.2594 0.4700 0.2509  4 O 2.04-2.12
Zn3 0.7406 0.5300 0.7491  4 O 2.04-2.12
Zn4 0.7406 0.9700 0.2491  4 O 2.04-2.12
Ir1 0.5000 0.0000 0.5000  6 O 2.00-2.05
Ir2 0.5000 0.5000 0.0000  6 O 2.00-2.05
O1 0.1082 0.1811 0.4354  1 Ti 1.96, 1 Ir 2.02, 1 Zn 2.04
O2 0.1082 0.3189 0.9354  1 Ti 1.96, 1 Ir 2.02, 1 Zn 2.04
O3 0.2626 0.6738 0.4401  1 Ti 1.97, 1 Ir 2.00, 1 Zn 2.04
O4 0.2626 0.8262 0.9401  1 Ti 1.97, 1 Ir 2.00, 1 Zn 2.04
O5 0.3656 0.0801 0.2498  1 Ir 2.05, 2 Zn 2.05-2.12, 1 Ti 2.05
O6 0.3656 0.4199 0.7498  1 Ir 2.05, 2 Zn 2.05-2.12, 1 Ti 2.05
O7 0.6344 0.5801 0.2502  1 Ir 2.05, 2 Zn 2.05-2.12, 1 Ti 2.05
O8 0.6344 0.9199 0.7502  1 Ir 2.05, 2 Zn 2.05-2.12, 1 Ti 2.05
O9 0.7374 0.1738 0.0599  1 Ti 1.97, 1 Ir 2.00, 1 Zn 2.04
O10 0.7374 0.3262 0.5599  1 Ti 1.97, 1 Ir 2.00, 1 Zn 2.04
O11 0.8918 0.6811 0.0646  1 Ti 1.96, 1 Ir 2.02, 1 Zn 2.04
O12 0.8918 0.8189 0.5646  1 Ti 1.96, 1 Ir 2.02, 1 Zn 2.04

Below is an optimized crystal structure of Er4CuIr, with properties calculated at the PBE-GGA level.

Summary:
For the total magnetization, the calculation gives 0.00 μB/atom. The value obtained for the uncorrected energy is -5.559 eV per atom. Its polymorph energy (0 for the lowest one) is 0.054 eV/atom. Its energy of formation is -357 meV per atom.

Lattice parameters (Å, degrees): 6.8529 6.7985 6.7973 90.00 92.01 90.00
Last column: nearest neighbours and their distance in Å.
Fractional coordinates of all 12 atoms:
Er1 0.1580 0.1604 0.1705  2 Ir 2.75-2.79, 1 Cu 2.87
Er2 0.1580 0.3396 0.6705  2 Ir 2.75-2.79, 1 Cu 2.87
Er3 0.3330 0.6601 0.1556  1 Ir 2.71, 2 Cu 2.79-2.80
Er4 0.3330 0.8399 0.6556  1 Ir 2.71, 2 Cu 2.79-2.80
Er5 0.6670 0.1601 0.3444  1 Ir 2.71, 2 Cu 2.79-2.80
Er6 0.6670 0.3399 0.8444  1 Ir 2.71, 2 Cu 2.79-2.80
Er7 0.8420 0.6604 0.3295  2 Ir 2.75-2.79, 1 Cu 2.87
Er8 0.8420 0.8396 0.8295  2 Ir 2.75-2.79, 1 Cu 2.87
Cu1 0.5000 0.0000 0.0000  6 Er 2.79-2.87
Cu2 0.5000 0.5000 0.5000  6 Er 2.79-2.87
Ir1 0.0000 0.0000 0.5000  6 Er 2.71-2.79
Ir2 0.0000 0.5000 0.0000  6 Er 2.71-2.79